Density functional theory data (PBE-GGA) for a geometry-optimized Li2MgHg5Pb2 structure.

```
data_Li2MgHg5Pb2
_chemical_formula_sum 'Li4 Mg2 Hg10 Pb4'
_space_group_name_H-M_alt 'P 4/m b m'
_space_group_IT_number 127
_space_group_name_Hall '-P 4 2ab'
_cell_length_a 11.3991
_cell_length_b 11.3991
_cell_length_c 3.5962
_cell_angle_alpha 90.00
_cell_angle_beta 90.00
_cell_angle_gamma 90.00
loop_
_atom_site_label
_atom_site_type_symbol
_atom_site_fract_x
_atom_site_fract_y
_atom_site_fract_z
Li1 Li 0.1286 0.3714 0.0000
Mg1 Mg 0.0000 0.0000 0.0000
Hg1 Hg 0.0000 0.5000 0.5000
Hg2 Hg 0.0601 0.1993 0.5000
Pb1 Pb 0.1764 0.6764 0.0000
```

Values from the calculation:
density = 10.3 g/cm³
DFT total energy = -1.58 eV per atom
energy relative to the elements = -0.15 eV/atom